La2CuSn: relaxed, GGA-PBE.

Results
Magnetization ... 0.0 μB per formula unit
Formation energy ... -1.89 eV/f.u.
D(E_F) ... 4.35 states/eV/f.u.

extended XYZ file:
```
8
Lattice="4.469 0.000 0.000 0.000 6.467 0.097 0.000 -3.103 7.998" Properties=species:S:1:pos:R:3 pbc="T T T"
La 3.352 0.019 3.642
La 1.117 3.345 4.453
La 1.117 4.744 0.868
La 3.352 -1.380 7.227
Cu 3.352 3.037 2.281
Cu 1.117 0.328 5.815
Sn 1.117 1.477 1.660
Sn 3.352 1.887 6.436
```